Record 1
{"formula": "LaPrP2O8", "functional": "PBE", "state": "optimized geometry", "cell": [[-5.003, -1.717, -0.787], [3.325, -2.793, 3.121], [-2.283, 3.927, 5.947]], "species": ["O", "O", "O", "O", "O", "O", "O", "O", "P", "P", "La", "Pr"], "fractional_positions": [[0.824, 0.649, 0.270], [0.667, 0.333, 0.993], [0.176, 0.351, 0.730], [0.175, 0.824, 0.730], [0.351, 0.175, 0.270], [0.825, 0.176, 0.270], [0.333, 0.667, 0.007], [0.649, 0.825, 0.730], [0.333, 0.667, 0.802], [0.667, 0.333, 0.198], [0.000, 0.000, 0.000], [0.000, 0.000, 0.500]], "e_form_raw_mev_per_atom": -2889, "magnetic_moment_mub_per_fu": 0.000, "e_tot_ev_per_atom": -7.905}

Record 2
{"formula": "La2PrPO8", "functional": "PBE", "state": "optimized geometry", "cell": [[5.339, 0.000, 0.000], [-2.669, 4.623, 0.000], [0.000, 0.000, 6.444]], "species": ["O", "O", "O", "O", "O", "O", "O", "O", "La", "La", "Pr", "P"], "fractional_positions": [[0.667, 0.333, 0.467], [0.150, 0.850, 0.158], [0.150, 0.300, 0.158], [0.300, 0.150, 0.842], [0.850, 0.150, 0.842], [0.333, 0.667, 0.533], [0.700, 0.850, 0.158], [0.850, 0.700, 0.842], [0.667, 0.333, 0.139], [0.333, 0.667, 0.861], [0.000, 0.000, 0.500], [0.000, 0.000, 0.000]], "e_form_raw_mev_per_atom": -2475, "magnetic_moment_mub_per_fu": 2.048, "e_tot_ev_per_atom": -7.451}

Record 3
{"formula": "LaPr2PO8", "functional": "PBE", "state": "optimized geometry", "cell": [[-1.864, -1.629, 4.639], [-1.225, -2.619, -4.392], [5.306, -3.813, 0.794]], "species": ["O", "O", "O", "O", "O", "O", "O", "O", "P", "Pr", "Pr", "La"], "fractional_positions": [[0.152, 0.848, 0.154], [0.333, 0.667, 0.532], [0.304, 0.152, 0.846], [0.696, 0.848, 0.154], [0.848, 0.152, 0.846], [0.152, 0.304, 0.154], [0.848, 0.696, 0.846], [0.667, 0.333, 0.468], [0.000, 0.000, 0.000], [0.667, 0.333, 0.137], [0.333, 0.667, 0.863], [0.000, 0.000, 0.500]], "e_form_raw_mev_per_atom": -2446, "magnetic_moment_mub_per_fu": 2.021, "e_tot_ev_per_atom": -7.409}

Record 4
{"formula": "LaP2PtO", "functional": "PBE", "state": "optimized geometry", "cell": [[5.592, 0.000, 0.000], [0.000, 5.592, 0.000], [0.000, 0.000, 4.066]], "species": ["O", "P", "P", "Pt", "La"], "fractional_positions": [[0.000, 0.000, 0.500], [0.500, 0.000, 0.000], [0.000, 0.500, 0.000], [0.500, 0.500, 0.500], [0.000, 0.000, 0.000]], "e_form_raw_mev_per_atom": 506, "magnetic_moment_mub_per_fu": 0.000, "polymorph_energy_mev_per_atom": 1029, "e_tot_ev_per_atom": -4.843}

Record 5
{"formula": "LaP2PtO8", "functional": "PBE", "state": "optimized geometry", "cell": [[5.177, 0.000, 0.000], [-2.588, 4.483, 0.000], [0.000, 0.000, 7.145]], "species": ["O", "O", "O", "O", "O", "O", "O", "O", "P", "P", "Pt", "La"], "fractional_positions": [[0.335, 0.167, 0.209], [0.833, 0.665, 0.209], [0.167, 0.335, 0.791], [0.665, 0.833, 0.791], [0.333, 0.667, 0.514], [0.167, 0.833, 0.791], [0.667, 0.333, 0.486], [0.833, 0.167, 0.209], [0.333, 0.667, 0.730], [0.667, 0.333, 0.270], [0.000, 0.000, 0.000], [0.000, 0.000, 0.500]], "e_form_raw_mev_per_atom": -2044, "magnetic_moment_mub_per_fu": 1.005, "e_tot_ev_per_atom": -7.165}

Record 6
{"formula": "LaP2PtO", "functional": "PBE", "state": "optimized geometry", "cell": [[4.681, 0.000, 0.000], [0.000, 4.681, 0.000], [0.000, 0.000, 4.307]], "species": ["Pt", "La", "P", "P", "O"], "fractional_positions": [[0.000, 0.000, 0.000], [0.500, 0.500, 0.500], [0.000, 0.500, 0.000], [0.500, 0.000, 0.000], [0.000, 0.000, 0.500]], "e_form_raw_mev_per_atom": -523, "magnetic_moment_mub_per_fu": 0.000, "polymorph_energy_mev_per_atom": 0, "e_tot_ev_per_atom": -5.872}

Record 7
{"formula": "LaPuP2O8", "functional": "PBE", "state": "optimized geometry", "cell": [[-3.655, -1.075, -3.741], [4.959, -1.919, -0.483], [-1.994, -6.084, 3.696]], "species": ["O", "O", "O", "O", "O", "O", "O", "O", "P", "P", "Pu", "La"], "fractional_positions": [[0.667, 0.333, 0.982], [0.351, 0.176, 0.262], [0.176, 0.825, 0.738], [0.825, 0.649, 0.262], [0.175, 0.351, 0.738], [0.824, 0.175, 0.262], [0.649, 0.824, 0.738], [0.333, 0.667, 0.018], [0.667, 0.333, 0.188], [0.333, 0.667, 0.812], [0.000, 0.000, 0.000], [0.000, 0.000, 0.500]], "e_form_raw_mev_per_atom": -2743, "magnetic_moment_mub_per_fu": 5.000, "e_tot_ev_per_atom": -8.555}

Record 8
{"formula": "LaPuPO", "functional": "PBE", "state": "optimized geometry", "cell": [[4.232, 0.000, 0.000], [0.000, 4.232, 0.000], [0.000, 0.000, 9.717]], "species": ["La", "La", "P", "P", "Pu", "Pu", "O", "O"], "fractional_positions": [[0.500, 0.000, 0.118], [0.000, 0.500, 0.882], [0.500, 0.000, 0.696], [0.000, 0.500, 0.304], [0.000, 0.000, 0.500], [0.500, 0.500, 0.500], [0.000, 0.000, 0.000], [0.500, 0.500, 0.000]], "e_form_raw_mev_per_atom": -1948, "magnetic_moment_mub_per_fu": 5.993, "e_tot_ev_per_atom": -9.355}

Record 9
{"formula": "RbLaPO2", "functional": "PBE", "state": "optimized geometry", "cell": [[4.507, 0.000, 0.000], [0.000, 4.507, 0.000], [0.000, 0.000, 5.195]], "species": ["P", "O", "O", "Rb", "La"], "fractional_positions": [[0.000, 0.000, 0.500], [0.000, 0.500, 0.000], [0.500, 0.000, 0.000], [0.000, 0.000, 0.000], [0.500, 0.500, 0.500]], "e_form_raw_mev_per_atom": -12, "magnetic_moment_mub_per_fu": 0.499, "polymorph_energy_mev_per_atom": 1083, "e_tot_ev_per_atom": -4.256}

Record 10
{"formula": "RbLaPO2", "functional": "PBE", "state": "optimized geometry", "cell": [[4.685, 0.000, 0.000], [0.000, 4.685, 0.000], [0.000, 0.000, 6.112]], "species": ["O", "O", "Rb", "P", "La"], "fractional_positions": [[0.000, 0.500, 0.000], [0.500, 0.000, 0.000], [0.500, 0.500, 0.500], [0.000, 0.000, 0.500], [0.000, 0.000, 0.000]], "e_form_raw_mev_per_atom": -1095, "magnetic_moment_mub_per_fu": 3.028, "polymorph_energy_mev_per_atom": 0, "e_tot_ev_per_atom": -5.339}

Record 11
{"formula": "LaPRhO2", "functional": "PBE", "state": "optimized geometry", "cell": [[-0.771, -4.088, -0.168], [0.211, -0.210, 4.153], [-4.428, 0.824, 0.267]], "species": ["Rh", "La", "O", "O", "P"], "fractional_positions": [[0.000, 0.000, 0.000], [0.500, 0.500, 0.500], [0.500, 0.000, 0.000], [0.000, 0.500, 0.000], [0.000, 0.000, 0.500]], "e_form_raw_mev_per_atom": -1047, "magnetic_moment_mub_per_fu": 0.425, "polymorph_energy_mev_per_atom": 0, "e_tot_ev_per_atom": -6.568}

Record 12
{"formula": "LaPRhO2", "functional": "PBE", "state": "optimized geometry", "cell": [[4.106, 0.000, 0.000], [0.000, 4.106, 0.000], [0.000, 0.000, 6.680]], "species": ["O", "O", "La", "Rh", "P"], "fractional_positions": [[0.000, 0.500, 0.000], [0.500, 0.000, 0.000], [0.000, 0.000, 0.000], [0.500, 0.500, 0.500], [0.000, 0.000, 0.500]], "e_form_raw_mev_per_atom": -339, "magnetic_moment_mub_per_fu": 1.540, "polymorph_energy_mev_per_atom": 708, "e_tot_ev_per_atom": -5.860}

Record 13
{"formula": "LaPRuO2", "functional": "PBE", "state": "optimized geometry", "cell": [[4.091, 0.000, 0.000], [0.000, 4.091, 0.000], [0.000, 0.000, 4.700]], "species": ["O", "O", "La", "Ru", "P"], "fractional_positions": [[0.500, 0.000, 0.000], [0.000, 0.500, 0.000], [0.500, 0.500, 0.500], [0.000, 0.000, 0.000], [0.000, 0.000, 0.500]], "e_form_raw_mev_per_atom": -1139, "magnetic_moment_mub_per_fu": 2.187, "polymorph_energy_mev_per_atom": 0, "e_tot_ev_per_atom": -7.044}

Record 14
{"formula": "LaPRuO", "functional": "PBE", "state": "optimized geometry", "cell": [[4.073, 0.000, 0.000], [0.000, 4.073, 0.000], [0.000, 0.000, 8.477]], "species": ["O", "O", "P", "P", "La", "La", "Ru", "Ru"], "fractional_positions": [[0.500, 0.500, 0.500], [0.000, 0.000, 0.500], [0.000, 0.500, 0.864], [0.500, 0.000, 0.136], [0.000, 0.500, 0.355], [0.500, 0.000, 0.645], [0.000, 0.000, 0.000], [0.500, 0.500, 0.000]], "e_form_raw_mev_per_atom": -2077, "magnetic_moment_mub_per_fu": 0.000, "e_tot_ev_per_atom": -8.220}

Record 15
{"formula": "LaP2RuO", "functional": "PBE", "state": "optimized geometry", "cell": [[-2.318, 4.814, 1.624], [-4.902, -1.649, -2.107], [-0.977, -1.681, 3.590]], "species": ["La", "P", "P", "Ru", "O"], "fractional_positions": [[0.000, 0.000, 0.000], [0.500, 0.000, 0.000], [0.000, 0.500, 0.000], [0.500, 0.500, 0.500], [0.000, 0.000, 0.500]], "e_form_raw_mev_per_atom": 713, "magnetic_moment_mub_per_fu": 2.351, "polymorph_energy_mev_per_atom": 1400, "e_tot_ev_per_atom": -5.283}

Record 16
{"formula": "LaPRuO2", "functional": "PBE", "state": "optimized geometry", "cell": [[-1.172, -0.026, 3.945], [0.932, -4.001, 0.251], [6.205, 1.562, 1.854]], "species": ["Ru", "O", "O", "P", "La"], "fractional_positions": [[0.500, 0.500, 0.500], [0.000, 0.500, 0.000], [0.500, 0.000, 0.000], [0.000, 0.000, 0.500], [0.000, 0.000, 0.000]], "e_form_raw_mev_per_atom": -197, "magnetic_moment_mub_per_fu": 3.649, "polymorph_energy_mev_per_atom": 942, "e_tot_ev_per_atom": -6.103}

Record 17
{"formula": "LaP2RuO", "functional": "PBE", "state": "optimized geometry", "cell": [[4.863, 0.000, 0.000], [0.000, 4.863, 0.000], [0.000, 0.000, 3.827]], "species": ["P", "P", "La", "Ru", "O"], "fractional_positions": [[0.500, 0.000, 0.000], [0.000, 0.500, 0.000], [0.500, 0.500, 0.500], [0.000, 0.000, 0.000], [0.000, 0.000, 0.500]], "e_form_raw_mev_per_atom": -687, "magnetic_moment_mub_per_fu": 0.000, "polymorph_energy_mev_per_atom": 0, "e_tot_ev_per_atom": -6.683}

Record 18
{"formula": "LaPS2O", "functional": "PBE", "state": "optimized geometry", "cell": [[5.505, 0.000, 0.000], [0.000, 5.505, 0.000], [0.000, 0.000, 6.073]], "species": ["S", "S", "O", "La", "P"], "fractional_positions": [[0.000, 0.500, 0.000], [0.500, 0.000, 0.000], [0.500, 0.500, 0.500], [0.000, 0.000, 0.000], [0.000, 0.000, 0.500]], "e_form_raw_mev_per_atom": 692, "magnetic_moment_mub_per_fu": 0.187, "polymorph_energy_mev_per_atom": 1234, "e_tot_ev_per_atom": -4.018}

Record 19
{"formula": "LaP2SO", "functional": "PBE", "state": "optimized geometry", "cell": [[-0.536, 2.395, 3.853], [0.055, -3.876, 2.417], [4.217, 0.307, 0.395]], "species": ["P", "P", "O", "La", "S"], "fractional_positions": [[0.000, 0.500, 0.000], [0.500, 0.000, 0.000], [0.000, 0.000, 0.500], [0.500, 0.500, 0.500], [0.000, 0.000, 0.000]], "e_form_raw_mev_per_atom": -384, "magnetic_moment_mub_per_fu": 0.000, "polymorph_energy_mev_per_atom": 200, "e_tot_ev_per_atom": -5.351}

Record 20
{"formula": "La8P3S4O", "functional": "PBE", "state": "optimized geometry", "cell": [[8.278, 0.000, 0.000], [0.000, 8.325, 0.027], [-4.139, -4.134, 5.856]], "species": ["P", "P", "P", "La", "La", "La", "La", "La", "La", "La", "La", "O", "S", "S", "S", "S"], "fractional_positions": [[0.000, 0.500, 0.500], [0.500, 0.500, 0.000], [0.500, 0.500, 0.500], [0.251, 0.253, 0.502], [0.749, 0.747, 0.498], [0.239, 0.736, 0.997], [0.239, 0.736, 0.478], [0.243, 0.264, 0.003], [0.761, 0.264, 0.003], [0.757, 0.736, 0.997], [0.761, 0.264, 0.522], [0.000, 0.500, 0.000], [0.000, 0.000, 0.500], [0.500, 0.000, 0.500], [0.500, 0.000, 0.000], [0.000, 0.000, 0.000]], "e_form_raw_mev_per_atom": -2017, "magnetic_moment_mub_per_fu": 0.000, "e_tot_ev_per_atom": -6.837}